This record from the Open Quantum Materials Database describes a relaxed KErNiS3 crystal. The functional is PBE.

a b c (Å): 8.6427 3.8888 9.1668
angles (deg): 90.00 107.38 90.00
Closest atoms and distances in Å follow each position.
Space group P2_1/m (No. 11)
Inequivalent atoms, fractional coordinates:
K (0.2027, 0.2500, 0.2348) x2  7 S 3.17-3.46
Er (0.3288, 0.7500, 0.8590) x2  6 S 2.67-2.81
Ni (0.0778, 0.2500, 0.5960) x2  4 S 2.22-2.28
S (0.1108, 0.2500, 0.8522) x2  1 Ni 2.28
S (0.1815, 0.7500, 0.5407) x2  3 Ni 2.22-2.26
S (0.4605, 0.7500, 0.1624) x2  3 Er 2.67-2.71

Computed properties:
E	-62.98	eV per cell
magnetic moment	2.5	μB/cell

This record from the Open Quantum Materials Database describes a relaxed KErNiS3 crystal. The functional is PBE.

a b c (Å): 10.6763 4.0805 11.7784
angles (deg): 90.00 90.00 90.00
Closest atoms and distances in Å follow each position.
Space group Pnma (No. 62)
Inequivalent atoms, fractional coordinates:
K (0.1659, 0.2500, 0.0013) x4  8 S 3.18-3.52, 3 Ni 3.40-3.46
Er (0.0088, 0.2500, 0.6638) x4  7 S 2.73-2.90
Ni (0.2419, 0.2500, 0.2866) x4  4 S 2.20-2.31
S (0.0501, 0.7500, 0.8130) x4  1 Ni 2.24
S (0.1146, 0.2500, 0.4456) x4  1 Ni 2.31
S (0.2268, 0.7500, 0.2186) x4  2 Ni 2.20

Computed properties:
E	-124.50	eV per cell
magnetic moment	0.3	μB/cell

This record from the Open Quantum Materials Database describes a relaxed KErNiSe3 crystal. The functional is PBE.

a b c (Å): 16.5707 4.1631 8.7265
angles (deg): 90.00 102.29 90.00
Closest atoms and distances in Å follow each position.
Space group C2/m (No. 12)
Inequivalent atoms, fractional coordinates:
K (0.1454, 0.0000, 0.0736) x4  7 Se 3.14-3.38
Er (0.1680, 0.0000, 0.5886) x4  6 Se 2.73-2.87
Ni (0.0005, 0.5000, 0.2958) x4  3 Se 2.41-2.58
Se (0.0000, 0.0000, 0.5000) x2  2 Er 2.73, 4 Ni 2.74
Se (0.0000, 0.5000, 0.0000) x2  2 Ni 2.58
Se (0.1474, 0.5000, 0.7930) x4  1 Ni 2.41
Se (0.1568, 0.5000, 0.3585) x4  1 Ni 2.53

Computed properties:
E	-111.58	eV per cell
magnetic moment	1.7	μB/cell

This record from the Open Quantum Materials Database describes a relaxed KSmErNi2 crystal. The functional is PBE.

a b c (Å): 3.7180 4.0274 17.9963
angles (deg): 90.00 90.00 90.00
Closest atoms and distances in Å follow each position.
Space group Amm2 (No. 38)
Inequivalent atoms, fractional coordinates:
K (0.0000, 0.0000, 0.0000) x2  2 Ni 3.63-3.89, 4 K 3.72-4.03
Sm (0.5000, 0.0000, 0.3283) x2  6 Ni 2.86-2.94
Er (0.5000, 0.0000, 0.6667) x2  6 Ni 2.81
Ni (0.0000, 0.0000, 0.2015) x2  2 Ni 2.50
Ni (0.0000, 0.0000, 0.7836) x2  2 Ni 2.50

Computed properties:
E	-44.51	eV per cell
magnetic moment	0.0	μB/cell

This record from the Open Quantum Materials Database describes a relaxed KTbErNi2 crystal. The functional is PBE.

a b c (Å): 3.6874 4.0294 17.8174
angles (deg): 90.00 90.00 90.00
Closest atoms and distances in Å follow each position.
Space group Amm2 (No. 38)
Inequivalent atoms, fractional coordinates:
K (0.0000, 0.0000, 0.0000) x2  2 Ni 3.65-3.76, 4 K 3.69-4.03, 4 Er 4.07
Tb (0.5000, 0.0000, 0.6716) x2  6 Ni 2.82-2.87
Er (0.5000, 0.0000, 0.3307) x2  6 Ni 2.80-2.82
Ni (0.0000, 0.0000, 0.2112) x2  2 Ni 2.51
Ni (0.0000, 0.0000, 0.7952) x2  2 Ni 2.51, 4 Er 2.80

Computed properties:
E	-44.48	eV per cell
magnetic moment	0.0	μB/cell

This record from the Open Quantum Materials Database describes a relaxed KYErNi2 crystal. The functional is PBE.

a b c (Å): 3.7082 4.0495 17.6327
angles (deg): 90.00 90.00 90.00
Closest atoms and distances in Å follow each position.
Space group Amm2 (No. 38)
Inequivalent atoms, fractional coordinates:
K (0.0000, 0.0000, 0.0000) x2  2 Ni 3.59-3.72, 2 K 3.71
Y (0.5000, 0.0000, 0.6694) x2  6 Ni 2.84-2.91
Er (0.5000, 0.0000, 0.3320) x2  6 Ni 2.82
Ni (0.0000, 0.0000, 0.2112) x2  2 Ni 2.52, 2 Er 2.82
Ni (0.0000, 0.0000, 0.7965) x2  2 Ni 2.52, 4 Er 2.82

Computed properties:
E	-48.10	eV per cell
magnetic moment	0.0	μB/cell

> Which formula does entry 1 have?

KErNiS3